No. 1
The following is a DFT calculation (GGA-PBE) of a relaxed Y12Hg3O5 crystal.

Lattice parameters (Å, degrees): 13.480 13.480 13.480 109.47 109.47 109.47
Site moments in Bohr magnetons follow the coordinates.
Fractional coordinates of all 80 atoms:
Hg: 0.750 0.375 0.125  0.00
Hg: 0.875 0.750 0.125  0.00
Hg: 0.375 0.750 0.625  0.00
Hg: 0.250 0.125 0.375  0.00
Hg: 0.875 0.125 0.250  0.00
Hg: 0.375 0.625 0.250  0.00
Hg: 0.625 0.375 0.750  0.00
Hg: 0.125 0.875 0.750  0.00
Hg: 0.750 0.875 0.625  0.00
Hg: 0.625 0.250 0.375  0.00
Hg: 0.125 0.250 0.875  0.00
Hg: 0.250 0.625 0.875  0.00
O: 0.125 0.375 0.250  0.01
O: 0.000 0.500 0.000  0.00
O: 0.000 0.000 0.000  0.00
O: 0.375 0.250 0.125  0.01
O: 0.500 0.000 0.500  0.00
O: 0.500 0.500 0.000  0.00
O: 0.125 0.750 0.375  0.01
O: 0.750 0.125 0.875  0.01
O: 0.750 0.625 0.375  0.01
O: 0.375 0.125 0.750  0.01
O: 0.625 0.875 0.250  0.01
O: 0.500 0.500 0.500  0.00
O: 0.500 0.000 0.000  0.00
O: 0.000 0.000 0.500  0.00
O: 0.250 0.375 0.625  0.01
O: 0.250 0.875 0.125  0.01
O: 0.000 0.500 0.500  0.00
O: 0.875 0.250 0.625  0.01
O: 0.625 0.750 0.875  0.01
O: 0.875 0.625 0.750  0.01
Y: 0.698 0.108 0.010  0.08
Y: 0.312 0.510 0.402  0.08
Y: 0.990 0.392 0.302  0.08
Y: 0.510 0.198 0.108  0.08
Y: 0.590 0.698 0.688  0.08
Y: 0.990 0.598 0.188  0.08
Y: 0.312 0.802 0.410  0.08
Y: 0.098 0.910 0.108  0.08
Y: 0.598 0.990 0.688  0.08
Y: 0.698 0.590 0.188  0.08
Y: 0.802 0.490 0.392  0.08
Y: 0.812 0.902 0.010  0.08
Y: 0.108 0.698 0.510  0.08
Y: 0.392 0.402 0.090  0.08
Y: 0.090 0.902 0.392  0.08
Y: 0.410 0.108 0.598  0.08
Y: 0.090 0.188 0.198  0.08
Y: 0.490 0.688 0.098  0.08
Y: 0.812 0.910 0.302  0.08
Y: 0.108 0.410 0.098  0.08
Y: 0.392 0.990 0.802  0.08
Y: 0.598 0.608 0.410  0.08
Y: 0.902 0.812 0.510  0.08
Y: 0.802 0.312 0.910  0.08
Y: 0.402 0.392 0.590  0.08
Y: 0.098 0.188 0.490  0.08
Y: 0.198 0.688 0.090  0.08
Y: 0.188 0.090 0.698  0.08
Y: 0.608 0.010 0.198  0.08
Y: 0.892 0.590 0.902  0.08
Y: 0.510 0.312 0.902  0.08
Y: 0.590 0.892 0.402  0.08
Y: 0.910 0.812 0.802  0.08
Y: 0.910 0.098 0.608  0.08
Y: 0.892 0.302 0.490  0.08
Y: 0.188 0.098 0.990  0.08
Y: 0.608 0.598 0.910  0.08
Y: 0.402 0.010 0.312  0.08
Y: 0.302 0.410 0.812  0.08
Y: 0.198 0.510 0.608  0.08
Y: 0.902 0.090 0.892  0.08
Y: 0.688 0.198 0.590  0.08
Y: 0.490 0.802 0.892  0.08
Y: 0.010 0.402 0.812  0.08
Y: 0.410 0.302 0.312  0.08
Y: 0.010 0.608 0.698  0.08
Y: 0.688 0.490 0.598  0.08
Y: 0.302 0.892 0.990  0.08

The calculation puts the formation energy without anion corrections at -1.5448 eV/atom. For the total magnetic moment, the calculation gives 1.85 μB/f.u. As for the space group: Ia-3d, No. 230. The value obtained for the final energy is -6.708 eV per atom.

***

No. 2
The following is a DFT calculation (GGA-PBE) of a relaxed Y2Hg2O5 crystal.

Lattice parameters (Å, degrees): 3.587 7.920 11.397 81.85 90.87 86.55
Fractional coordinates of all 18 atoms:
Y: 0.220 0.823 0.815
Y: 0.741 0.608 0.607
Y: 0.780 0.177 0.185
Y: 0.259 0.392 0.393
Hg: 0.747 0.632 0.108
Hg: 0.633 0.159 0.665
Hg: 0.367 0.841 0.335
Hg: 0.253 0.368 0.892
O: 0.737 0.749 0.937
O: 0.713 0.842 0.687
O: 0.225 0.650 0.480
O: 0.811 0.892 0.210
O: 0.189 0.108 0.790
O: 0.287 0.158 0.313
O: 0.263 0.251 0.063
O: 0.254 0.543 0.737
O: 0.775 0.350 0.520
O: 0.746 0.457 0.263

The calculation puts the formation energy without anion corrections at -2.0221 eV/atom. For the total magnetic moment, the calculation gives 0.00 μB/f.u. As for the space group: P-1, No. 2. The value obtained for the final energy is -6.280 eV per atom. The calculation puts the polymorph energy (0 for the lowest one) at 0.00 eV/f.u.

***

No. 3
The following is a DFT calculation (GGA-PBE) of a relaxed YHgO crystal.

Lattice parameters (Å, degrees): 3.926 3.926 7.875 90.00 90.00 90.00
Fractional coordinates of all 6 atoms:
Y: 0.250 0.750 0.362
Y: 0.750 0.250 0.638
Hg: 0.250 0.750 0.905
Hg: 0.750 0.250 0.095
O: 0.750 0.750 0.500
O: 0.250 0.250 0.500

The calculation puts the formation energy without anion corrections at -2.1333 eV/atom. For the total magnetic moment, the calculation gives 0.00 μB/f.u. As for the space group: P4/nmm, No. 129. The value obtained for the final energy is -6.041 eV per atom.

***

No. 4
The following is a DFT calculation (GGA-PBE) of a relaxed Y3HgO6 crystal.

Lattice parameters (Å, degrees): 5.679 7.222 7.222 102.47 90.00 90.00
Fractional coordinates of all 20 atoms:
Y: 0.466 0.910 0.679
Y: 0.966 0.679 0.910
Y: 0.411 0.400 0.600
Y: 0.911 0.600 0.400
Y: 0.966 0.090 0.321
Y: 0.466 0.321 0.090
Hg: 0.973 0.156 0.844
Hg: 0.473 0.844 0.156
O: 0.188 0.678 0.641
O: 0.688 0.641 0.678
O: 0.203 0.429 0.898
O: 0.703 0.898 0.429
O: 0.265 0.025 0.975
O: 0.621 0.219 0.781
O: 0.121 0.781 0.219
O: 0.765 0.975 0.025
O: 0.203 0.102 0.571
O: 0.703 0.571 0.102
O: 0.188 0.359 0.322
O: 0.688 0.322 0.359

The calculation puts the formation energy without anion corrections at -2.6219 eV/atom. For the total magnetic moment, the calculation gives 0.00 μB/f.u. As for the space group: Cmc2_1, No. 36. The value obtained for the final energy is -7.566 eV per atom.

***

No. 5
The following is a DFT calculation (GGA-PBE) of a relaxed Y2HgO2 crystal.

Lattice parameters (Å, degrees): 7.604 7.604 3.054 90.00 90.00 90.00
Fractional coordinates of all 10 atoms:
Y: 0.361 0.861 0.000
Y: 0.861 0.639 0.000
Y: 0.639 0.139 0.000
Y: 0.139 0.361 0.000
Hg: 0.000 0.000 0.000
Hg: 0.500 0.500 0.000
O: 0.115 0.615 0.500
O: 0.615 0.885 0.500
O: 0.885 0.385 0.500
O: 0.385 0.115 0.500

The calculation puts the formation energy without anion corrections at -1.5215 eV/atom. For the total magnetic moment, the calculation gives 0.00 μB/f.u. As for the space group: P4/mbm, No. 127. The value obtained for the final energy is -6.151 eV per atom. The calculation puts the polymorph energy (0 for the lowest one) at 4.85 eV/f.u.

***

No. 6
The following is a DFT calculation (GGA-PBE) of a relaxed Y2Hg2O5 crystal.

Lattice parameters (Å, degrees): 3.590 11.921 13.276 90.00 90.00 90.00
Fractional coordinates of all 36 atoms:
Y: 0.249 0.034 0.672
Y: 0.250 0.216 0.000
Y: 0.750 0.284 0.500
Y: 0.749 0.466 0.172
Y: 0.251 0.534 0.672
Y: 0.250 0.716 0.000
Y: 0.750 0.784 0.500
Y: 0.751 0.966 0.172
Hg: 0.251 0.003 0.402
Hg: 0.249 0.246 0.271
Hg: 0.749 0.254 0.771
Hg: 0.751 0.497 0.902
Hg: 0.249 0.503 0.402
Hg: 0.251 0.746 0.271
Hg: 0.751 0.754 0.771
Hg: 0.749 0.997 0.902
O: 0.250 0.060 0.234
O: 0.750 0.098 0.047
O: 0.250 0.125 0.836
O: 0.750 0.152 0.626
O: 0.250 0.190 0.438
O: 0.750 0.310 0.938
O: 0.250 0.348 0.126
O: 0.750 0.375 0.336
O: 0.250 0.402 0.547
O: 0.750 0.440 0.734
O: 0.250 0.560 0.234
O: 0.750 0.598 0.047
O: 0.250 0.625 0.836
O: 0.750 0.652 0.626
O: 0.250 0.690 0.438
O: 0.750 0.810 0.938
O: 0.250 0.848 0.126
O: 0.750 0.875 0.336
O: 0.250 0.902 0.547
O: 0.750 0.940 0.734

The calculation puts the formation energy without anion corrections at -2.0121 eV/atom. For the total magnetic moment, the calculation gives 0.00 μB/f.u. As for the space group: Pna2_1, No. 33. The value obtained for the final energy is -6.270 eV per atom. The calculation puts the polymorph energy (0 for the lowest one) at 0.09 eV/f.u.

***

No. 7
The following is a DFT calculation (GGA-PBE) of a relaxed Y2HgO2 crystal.

Lattice parameters (Å, degrees): 4.007 4.007 6.575 72.26 72.26 90.00
Fractional coordinates of all 5 atoms:
Y: 0.340 0.340 0.321
Y: 0.660 0.660 0.679
Hg: 0.000 0.000 0.000
O: 0.750 0.250 0.500
O: 0.250 0.750 0.500

The calculation puts the formation energy without anion corrections at -2.4921 eV/atom. For the total magnetic moment, the calculation gives 0.00 μB/f.u. As for the space group: I4/mmm, No. 139. The value obtained for the final energy is -7.121 eV per atom. The calculation puts the polymorph energy (0 for the lowest one) at 0.00 eV/f.u.

***

No. 8
The following is a DFT calculation (GGA-PBE) of a relaxed YZn2HgO crystal.

Lattice parameters (Å, degrees): 6.129 4.195 6.129 90.00 90.00 90.00
Fractional coordinates of all 5 atoms:
Y: 0.000 0.000 0.000
Zn: 0.000 0.000 0.500
Zn: 0.500 0.000 0.000
Hg: 0.500 0.500 0.500
O: 0.000 0.500 0.000

The calculation puts the formation energy without anion corrections at -0.4343 eV/atom. For the total magnetic moment, the calculation gives 0.00 μB/f.u. As for the space group: P4/mmm, No. 123. The value obtained for the final energy is -3.289 eV per atom.

***

No. 9
The following is a DFT calculation (GGA-PBE) of a relaxed YZr2HgO crystal.

Lattice parameters (Å, degrees): 4.498 4.498 4.798 90.00 90.00 90.00
Site moments in Bohr magnetons follow the coordinates.
Fractional coordinates of all 5 atoms:
Y: 0.000 0.000 0.500  0.02
O: 0.000 0.000 0.000  0.00
Hg: 0.500 0.500 0.500  0.00
Zr: 0.000 0.500 0.000  0.10
Zr: 0.500 0.000 0.000  0.10

The calculation puts the formation energy without anion corrections at -1.1631 eV/atom. For the total magnetic moment, the calculation gives 0.30 μB/f.u. As for the space group: P4/mmm, No. 123. The value obtained for the final energy is -6.927 eV per atom.

***

No. 10
The following is a DFT calculation (GGA-PBE) of a relaxed Y2ZrHgO crystal.

Lattice parameters (Å, degrees): 4.777 4.777 4.512 90.00 90.00 90.00
Fractional coordinates of all 5 atoms:
Y: 0.000 0.500 0.000
Y: 0.500 0.000 0.000
O: 0.000 0.000 0.000
Hg: 0.500 0.500 0.500
Zr: 0.000 0.000 0.500

The calculation puts the formation energy without anion corrections at -1.2666 eV/atom. For the total magnetic moment, the calculation gives 0.00 μB/f.u. As for the space group: P4/mmm, No. 123. The value obtained for the final energy is -6.614 eV per atom.

***

No. 11
The following is a DFT calculation (GGA-PBE) of a relaxed ZnHgO3 crystal.

Lattice parameters (Å, degrees): 3.880 3.880 3.880 90.00 90.00 90.00
Site moments in Bohr magnetons follow the coordinates.
Fractional coordinates of all 5 atoms:
Zn: 0.000 0.000 0.000  0.04
Hg: 0.500 0.500 0.500  -0.02
O: 0.000 0.500 0.000  0.38
O: 0.000 0.000 0.500  0.23
O: 0.500 0.000 0.000  0.34

The calculation puts the formation energy without anion corrections at -0.0374 eV/atom. For the total magnetic moment, the calculation gives 1.11 μB/f.u. As for the space group: Pm-3m, No. 221. The value obtained for the final energy is -3.327 eV per atom.

***

No. 12
The following is a DFT calculation (GGA-PBE) of a relaxed ZnHgO crystal.

Lattice parameters (Å, degrees): 3.314 3.314 6.423 90.00 90.00 120.00
Fractional coordinates of all 3 atoms:
Zn: 0.667 0.333 0.500
Hg: 0.000 0.000 0.000
O: 0.333 0.667 0.500

The calculation puts the formation energy without anion corrections at -0.7886 eV/atom. For the total magnetic moment, the calculation gives 0.00 μB/f.u. As for the space group: P-6m2, No. 187. The value obtained for the final energy is -2.967 eV per atom. The calculation puts the polymorph energy (0 for the lowest one) at 0.00 eV/f.u.

***

No. 13
The following is a DFT calculation (GGA-PBE) of a relaxed ZnHgO crystal.

Lattice parameters (Å, degrees): 3.233 6.565 6.445 52.22 75.48 75.75
Fractional coordinates of all 6 atoms:
O: 0.350 0.811 0.490
O: 0.650 0.189 0.510
Zn: 0.842 0.014 0.301
Zn: 0.158 0.986 0.699
Hg: 0.613 0.637 0.137
Hg: 0.387 0.363 0.863

The calculation puts the formation energy without anion corrections at -0.6131 eV/atom. For the total magnetic moment, the calculation gives 0.00 μB/f.u. As for the space group: C2/m, No. 12. The value obtained for the final energy is -2.791 eV per atom. The calculation puts the polymorph energy (0 for the lowest one) at 0.53 eV/f.u.

***

No. 14
The following is a DFT calculation (GGA-PBE) of a relaxed ZnHgO2 crystal.

Lattice parameters (Å, degrees): 4.083 4.083 4.083 60.00 60.00 60.00
Fractional coordinates of all 4 atoms:
Zn: 0.000 0.000 0.000
Hg: 0.500 0.500 0.500
O: 0.250 0.250 0.250
O: 0.750 0.750 0.750

The calculation puts the formation energy without anion corrections at -0.1627 eV/atom. For the total magnetic moment, the calculation gives 0.00 μB/f.u. As for the space group: Fm-3m, No. 225. The value obtained for the final energy is -3.036 eV per atom.

***

No. 15
The following is a DFT calculation (GGA-PBE) of a relaxed Zn2HgO crystal.

Lattice parameters (Å, degrees): 5.955 5.955 5.756 58.85 58.85 90.00
Fractional coordinates of all 8 atoms:
Zn: 0.531 0.125 0.250
Zn: 0.219 0.625 0.250
Zn: 0.375 0.469 0.750
Zn: 0.875 0.781 0.750
Hg: 0.000 0.000 0.000
Hg: 0.750 0.250 0.500
O: 0.500 0.500 0.000
O: 0.250 0.750 0.500

The calculation puts the formation energy without anion corrections at -0.5064 eV/atom. For the total magnetic moment, the calculation gives 0.00 μB/f.u. As for the space group: I-42d, No. 122. The value obtained for the final energy is -2.458 eV per atom. The calculation puts the polymorph energy (0 for the lowest one) at 0.00 eV/f.u.

***

No. 16
The following is a DFT calculation (GGA-PBE) of a relaxed ZnHg2O3 crystal.

Lattice parameters (Å, degrees): 5.697 6.269 6.269 119.51 90.00 90.00
Fractional coordinates of all 12 atoms:
Zn: 0.054 0.843 0.843
Zn: 0.554 0.157 0.157
Hg: 0.542 0.830 0.508
Hg: 0.042 0.492 0.170
Hg: 0.542 0.508 0.830
Hg: 0.042 0.170 0.492
O: 0.957 0.834 0.534
O: 0.457 0.466 0.166
O: 0.957 0.534 0.834
O: 0.457 0.166 0.466
O: 0.405 0.872 0.872
O: 0.905 0.128 0.128

The calculation puts the formation energy without anion corrections at -0.5978 eV/atom. For the total magnetic moment, the calculation gives 0.00 μB/f.u. As for the space group: Cmc2_1, No. 36. The value obtained for the final energy is -3.390 eV per atom.

***

No. 17
The following is a DFT calculation (GGA-PBE) of a relaxed ZnHgO2 crystal.

Lattice parameters (Å, degrees): 5.055 5.055 5.938 64.81 64.81 90.00
Fractional coordinates of all 8 atoms:
Zn: 0.500 0.500 0.000
Zn: 0.250 0.750 0.500
Hg: 0.000 0.000 0.000
Hg: 0.750 0.250 0.500
O: 0.572 0.125 0.250
O: 0.178 0.625 0.250
O: 0.375 0.428 0.750
O: 0.875 0.822 0.750

The calculation puts the formation energy without anion corrections at -0.7964 eV/atom. For the total magnetic moment, the calculation gives 0.00 μB/f.u. As for the space group: I-42d, No. 122. The value obtained for the final energy is -3.669 eV per atom.

***

No. 18
The following is a DFT calculation (GGA-PBE) of a relaxed ZnHgO3 crystal.

Lattice parameters (Å, degrees): 4.092 4.092 4.092 90.00 90.00 90.00
Fractional coordinates of all 5 atoms:
Zn: 0.500 0.500 0.500
Hg: 0.000 0.000 0.000
O: 0.000 0.500 0.000
O: 0.000 0.000 0.500
O: 0.500 0.000 0.000

The calculation puts the formation energy without anion corrections at 0.4497 eV/atom. For the total magnetic moment, the calculation gives 0.00 μB/f.u. As for the space group: Pm-3m, No. 221. The value obtained for the final energy is -2.840 eV per atom.

***

No. 19
The following is a DFT calculation (GGA-PBE) of a relaxed ZnHgO2 crystal.

Lattice parameters (Å, degrees): 6.135 6.411 7.018 90.00 90.00 90.00
Fractional coordinates of all 16 atoms:
Zn: 0.937 0.021 0.120
Zn: 0.063 0.521 0.880
Zn: 0.563 0.521 0.620
Zn: 0.437 0.021 0.380
Hg: 0.028 0.912 0.628
Hg: 0.972 0.412 0.372
Hg: 0.472 0.412 0.128
Hg: 0.528 0.912 0.872
O: 0.612 0.987 0.146
O: 0.388 0.487 0.854
O: 0.888 0.487 0.646
O: 0.112 0.987 0.354
O: 0.994 0.330 0.089
O: 0.006 0.830 0.911
O: 0.506 0.830 0.589
O: 0.494 0.330 0.411

The calculation puts the formation energy without anion corrections at -0.7910 eV/atom. For the total magnetic moment, the calculation gives 0.00 μB/f.u. As for the space group: Pna2_1, No. 33. The value obtained for the final energy is -3.664 eV per atom.